! MgCd2Ni | Alexandria via LeMat-Bulk | GGA-PBEsol | optimized geometry; values from VASP
! Total moment ... 0.000 μB/atom
! Uncorrected energy ... -2.602 eV per atom
! Calculated volume ... 16.8 Å³/atom
! DFT formation energy ... -0.1 eV/f.u.
! N(E_F) ... 1.5 states/eV/f.u.
&SYSTEM
  ibrav = 0, nat = 4, ntyp = 3
/
ATOMIC_SPECIES
Ni 58.69 Ni.upf
Mg 24.30 Mg.upf
Cd 112.41 Cd.upf
CELL_PARAMETERS angstrom
3.759 0.000 0.000
0.000 4.218 0.000
-1.880 -2.109 4.226
ATOMIC_POSITIONS crystal
Ni 0.250 0.750 0.500
Mg 0.512 0.512 0.023
Cd 0.989 0.989 0.978
Cd 0.749 0.249 0.498

! MnRe3 | Alexandria via LeMat-Bulk | GGA-PBEsol | optimized geometry; values from VASP
! Total moment ... 0.686 μB/atom
! Uncorrected energy ... -12.246 eV per atom
! Calculated volume ... 14.0 Å³/atom
! DFT formation energy ... 0.8 eV/f.u.
! N(E_F) ... 3.1 states/eV/f.u.
&SYSTEM
  ibrav = 0, nat = 4, ntyp = 2
/
ATOMIC_SPECIES
Mn 54.94 Mn.upf
Re 186.21 Re.upf
CELL_PARAMETERS angstrom
-1.597 -2.532 -0.977
2.653 -2.496 2.134
-2.490 0.259 3.400
ATOMIC_POSITIONS crystal
Mn 0.000 0.000 0.000
Re 0.500 0.000 0.500
Re 0.500 0.500 0.000
Re 0.000 0.500 0.500

! Ba3Fe3N5 | Alexandria via LeMat-Bulk | GGA-PBEsol | optimized geometry; values from VASP
! Total moment ... 0.004 μB/atom
! Uncorrected energy ... -7.466 eV per atom
! Calculated volume ... 15.6 Å³/atom
! Raw formation energy ... -0.56 eV per atom
! N(E_F) ... 4.8 states/eV/f.u.
&SYSTEM
  ibrav = 0, nat = 22, ntyp = 3
/
ATOMIC_SPECIES
Fe 55.84 Fe.upf
Ba 137.33 Ba.upf
N 14.01 N.upf
CELL_PARAMETERS angstrom
5.751 0.007 -0.002
-1.892 7.527 0.028
-2.049 -2.702 7.912
ATOMIC_POSITIONS crystal
Fe 0.894 0.336 0.986
Fe 0.106 0.664 0.014
Fe 0.669 0.991 0.596
Fe 0.331 0.009 0.404
Fe 0.086 0.843 0.679
Fe 0.914 0.157 0.321
Ba 0.763 0.430 0.614
Ba 0.237 0.570 0.386
Ba 0.663 0.859 0.889
Ba 0.337 0.141 0.111
Ba 0.719 0.724 0.241
Ba 0.281 0.276 0.759
N 0.816 0.168 0.792
N 0.184 0.832 0.208
N 0.754 0.772 0.575
N 0.246 0.228 0.425
N 0.767 0.525 0.944
N 0.233 0.475 0.056
N 0.329 0.929 0.591
N 0.671 0.071 0.409
N 0.144 0.764 0.851
N 0.856 0.236 0.149

! Sr4Cu3NiO8 | Alexandria via LeMat-Bulk | GGA-PBEsol | optimized geometry; values from VASP
! Total moment ... 0.043 μB/atom
! Uncorrected energy ... -6.046 eV per atom
! Calculated volume ... 13.9 Å³/atom
! Raw formation energy ... -1.76 eV per atom
! N(E_F) ... 8.7 states/eV/f.u.
&SYSTEM
  ibrav = 0, nat = 16, ntyp = 4
/
ATOMIC_SPECIES
Sr 87.62 Sr.upf
Cu 63.55 Cu.upf
Ni 58.69 Ni.upf
O 16.00 O.upf
CELL_PARAMETERS angstrom
3.586 0.000 0.000
0.000 7.731 0.000
-1.793 0.000 8.035
ATOMIC_POSITIONS crystal
Sr 0.332 0.500 0.664
Sr 0.332 0.000 0.664
Sr 0.666 0.253 0.333
Sr 0.666 0.747 0.333
Cu 0.064 0.000 0.128
Cu 0.938 0.251 0.875
Cu 0.938 0.749 0.875
Ni 0.063 0.500 0.126
O 0.946 0.500 0.891
O 0.946 0.000 0.892
O 0.054 0.261 0.107
O 0.054 0.739 0.107
O 0.180 0.500 0.359
O 0.181 0.000 0.361
O 0.821 0.251 0.641
O 0.821 0.749 0.641

no.,calculated density (Mg/m³)
1,7.63
2,18.15
3,6.29
4,5.43